Here is a geometry-optimized Ce2NdZn2Sn2 structure from the Alexandria database. Energies are from PBE.

Cell: 4.5494 4.5494 28.7605 Å, 90.00 90.00 120.00°
Closest atoms and distances in Å follow each position.
Space group R-3m (No. 166, hexagonal axes)
Inequivalent atoms, fractional coordinates:
Ce: 0.0000 0.0000 0.1434 x6  3 Ce 2.95, 3 Zn 3.09
Nd: 0.0000 0.0000 0.0000 x3  6 Sn 3.26, 6 Zn 3.62
Zn: 0.0000 0.0000 0.4200 x6  3 Sn 2.69
Sn: 0.0000 0.0000 0.2665 x6  3 Zn 2.69

Calculated values
Energy of formation: -0.3669 eV per atom
N(E_F): 1.706 states/eV/atom
Volume: 516 Å³/cell

=====

Here is a geometry-optimized Ba3Zn2Sn3 structure from the Alexandria database. Energies are from PBE.

Cell: 4.7995 12.8256 17.7849 Å, 90.00 90.00 90.00°
Closest atoms and distances in Å follow each position.
Space group Cmcm (No. 63)
Inequivalent atoms, fractional coordinates:
Ba: 0.0000 0.0545 0.2500 x4  5 Sn 3.49-3.67, 4 Zn 3.50
Ba: 0.0000 0.3539 0.0964 x8  7 Sn 3.55-3.87, 4 Zn 3.67-3.86
Zn: 0.0000 0.3601 0.6206 x8  3 Sn 2.77-2.83
Sn: 0.0000 0.0833 0.0549 x8  2 Zn 2.77, 1 Sn 2.90
Sn: 0.0000 0.2318 0.7500 x4  2 Zn 2.83

Calculated values
Energy of formation: -0.5096 eV per atom
N(E_F): 0.333 states/eV/atom
Volume: 1095 Å³/cell

=====

Here is a geometry-optimized Th6Rh2C3N structure from the Alexandria database. Energies are from PBE.

Cell: 17.3315 3.7590 7.8649 Å, 90.00 107.84 90.00°
Closest atoms and distances in Å follow each position.
Space group C2/m (No. 12)
Inequivalent atoms, fractional coordinates:
Th: 0.0029 0.0000 0.2384 x4  3 C 2.52-2.80, 2 N 2.64
Th: 0.1481 0.5000 0.6192 x4  3 C 2.45-2.62
Th: 0.1693 0.5000 0.0864 x4  2 C 2.58, 1 N 2.80
Rh: 0.1858 0.0000 0.3810 x4  6 Th 2.87-3.02, 2 Rh 3.07
C: 0.0000 0.5000 0.5000 x2  2 Th 2.45
C: 0.1500 0.0000 0.8525 x4  5 Th 2.52-2.62
N: 0.0000 0.5000 0.0000 x2  6 Th 2.64-2.80

Calculated values
N(E_F): 0.486 states/eV/atom
Volume: 488 Å³/cell
VASP energy: -8.549 eV per atom

=====

Here is a geometry-optimized La2PRuO structure from the Alexandria database. Energies are from PBE.

Cell: 5.5597 5.5597 3.6403 Å, 90.00 90.00 90.00°
Closest atoms and distances in Å follow each position.
Space group P4/mmm (No. 123)
Inequivalent atoms, fractional coordinates:
La: 0.0000 0.5000 0.0000 x2  2 P 2.78
P: 0.0000 0.0000 0.0000 x1  2 O 1.82
Ru: 0.5000 0.5000 0.5000 x1  8 La 3.32, 2 Ru 3.64
O: 0.0000 0.0000 0.5000 x1  2 P 1.82

Calculated values
N(E_F): 0.500 states/eV/atom
Volume: 113 Å³/cell
VASP energy: -6.256 eV per atom

=====

Here is a geometry-optimized MgZr2Ta structure from the Alexandria database. Energies are from PBE.

Cell: 3.5744 3.5744 6.6038 Å, 90.00 90.00 90.00°
Closest atoms and distances in Å follow each position.
Space group P4mm (No. 99)
Inequivalent atoms, fractional coordinates:
Mg: 0.0000 0.0000 0.0000 x1  4 Ta 3.00, 5 Zr 3.09
Zr: 0.0000 0.0000 0.4675 x1  4 Ta 2.92, 4 Zr 3.06, 1 Mg 3.09
Zr: 0.5000 0.5000 0.7298 x1  4 Zr 3.06, 4 Mg 3.09, 2 Ta 3.20-3.40
Ta: 0.5000 0.5000 0.2452 x1  5 Zr 2.92-3.20, 4 Mg 3.00

Calculated values
Energy of formation: 0.2145 eV per atom
N(E_F): 1.078 states/eV/atom
Volume: 84 Å³/cell

=====

Here is a geometry-optimized KSiI3 structure from the Alexandria database. Energies are from PBE.

Cell: 5.7999 5.7999 5.7999 Å, 90.00 90.00 90.00°
Closest atoms and distances in Å follow each position.
Space group Pm-3m (No. 221)
Inequivalent atoms, fractional coordinates:
K: 0.0000 0.0000 0.0000 x1  12 I 4.10
Si: 0.5000 0.5000 0.5000 x1  6 I 2.90
I: 0.0000 0.5000 0.5000 x3  2 Si 2.90

Calculated values
N(E_F): 0.002 states/eV/atom
Volume: 195 Å³/cell
VASP energy: -2.822 eV per atom

=====

Here is a geometry-optimized CsKCdO2 structure from the Alexandria database. Energies are from PBE.

Cell: 14.9647 4.0398 8.1847 Å, 90.00 96.80 90.00°
Closest atoms and distances in Å follow each position.
Space group C2/m (No. 12)
Inequivalent atoms, fractional coordinates:
Cs: 0.1221 0.0000 0.1413 x4  2 O 2.84-2.90
K: 0.1872 0.0000 0.5966 x4  3 O 2.58-2.61
Cd: 0.0322 0.5000 0.6751 x4  4 O 2.26-2.40
O: 0.0649 0.0000 0.7983 x4  2 Cd 2.28
O: 0.1133 0.5000 0.4385 x4  2 Cd 2.26-2.40

Calculated values
Volume: 491 Å³/cell
VASP energy: -3.593 eV per atom

=====

Here is a geometry-optimized PaPtAu structure from the Alexandria database. Energies are from PBE.

Cell: 8.0202 4.6319 7.8663 Å, 90.00 109.98 90.00°
Closest atoms and distances in Å follow each position.
Space group C2/m (No. 12)
Inequivalent atoms, fractional coordinates:
Pa: 0.0752 0.0000 0.2246 x4  4 Pt 2.79-2.97
Pt: 0.2003 0.0000 0.6021 x4  4 Pa 2.79-2.97, 1 Au 2.96, 3 Pt 3.06-3.07
Au: 0.1658 0.5000 0.9972 x4  3 Au 2.67, 1 Pt 2.96

Calculated values
Energy of formation: -0.5445 eV per atom
N(E_F): 0.989 states/eV/atom
Volume: 275 Å³/cell

=====

Here is a geometry-optimized Li2Dy3In4 structure from the Alexandria database. Energies are from PBE.

Cell: 10.9254 4.8960 9.2975 Å, 90.00 118.65 90.00°
Closest atoms and distances in Å follow each position.
Space group C2/m (No. 12)
Inequivalent atoms, fractional coordinates:
Li: 0.1114 0.0000 0.2825 x4  3 In 2.78
Dy: 0.0000 0.5000 0.0000 x2  8 In 3.27-3.34, 4 Li 3.36, 2 Dy 3.51
Dy: 0.1652 0.0000 0.6595 x4  8 In 3.25-3.61, 4 Li 3.26-3.31, 2 Dy 3.40-3.51
In: 0.0508 0.5000 0.3768 x4  2 Li 2.78, 1 In 2.99
In: 0.2324 0.0000 0.0793 x4  1 Li 2.78, 2 In 2.98

Calculated values
Energy of formation: -0.4040 eV per atom
N(E_F): 0.402 states/eV/atom
Volume: 436 Å³/cell

=====

Here is a geometry-optimized TiSiIrRu structure from the Alexandria database. Energies are from PBE.

Cell: 6.0551 6.0551 6.0551 Å, 90.00 90.00 90.00°
Closest atoms and distances in Å follow each position.
Space group F-43m (No. 216)
Inequivalent atoms, fractional coordinates:
Ti: 0.0000 0.0000 0.0000 x4  4 Ir 2.62, 4 Ru 2.62
Si: 0.0000 0.0000 0.5000 x4  4 Ru 2.62, 4 Ir 2.62
Ir: 0.2500 0.2500 0.7500 x4  4 Si 2.62, 4 Ti 2.62
Ru: 0.2500 0.2500 0.2500 x4  4 Si 2.62, 4 Ti 2.62

Calculated values
N(E_F): 1.187 states/eV/atom
Volume: 222 Å³/cell
VASP energy: -8.574 eV per atom

=====

Here is a geometry-optimized Na6FeCl8 structure from the Alexandria database. Energies are from PBE.

Cell: 11.2760 11.2760 11.2760 Å, 90.00 90.00 90.00°
Closest atoms and distances in Å follow each position.
Space group Fm-3m (No. 225)
Inequivalent atoms, fractional coordinates:
Na: 0.0000 0.2500 0.2500 x24  6 Cl 2.82-2.83
Fe: 0.0000 0.0000 0.0000 x4  6 Cl 2.52
Cl: 0.0000 0.0000 0.2234 x24  1 Fe 2.52
Cl: 0.2500 0.2500 0.2500 x8  6 Na 2.82

Calculated values
N(E_F): 0.569 states/eV/atom
Volume: 1434 Å³/cell
VASP energy: -3.653 eV per atom

=====

Here is a geometry-optimized Ba2SrCa structure from the Alexandria database. Energies are from PBE.

Cell: 4.9766 6.6570 13.2611 Å, 90.00 90.00 90.00°
Closest atoms and distances in Å follow each position.
Space group Cmmm (No. 65)
Inequivalent atoms, fractional coordinates:
Ba: 0.0000 0.0000 0.2413 x4  2 Ca 4.05, 4 Ba 4.16, 2 Sr 4.24
Sr: 0.0000 0.5000 0.5000 x2  4 Sr 4.16, 4 Ba 4.24
Ca: 0.0000 0.5000 0.0000 x2  4 Ba 4.05, 4 Ca 4.16

Calculated values
Energy of formation: 0.0236 eV per atom
N(E_F): 1.169 states/eV/atom
Volume: 439 Å³/cell